[1]
Compound: ZrScTe2
Source: Alexandria via LeMat-Bulk
Functional: GGA-PBE
Structure: relaxed

Cell: 9.480 9.480 9.480 Å, 23.94 23.94 23.94°
Positions (direct):
Zr  0.505  0.505  0.505
Te  0.234  0.234  0.234
Sc  0.744  0.744  0.744
Te  0.017  0.017  0.017

Total energy in eV/atom: -5.74
Distance to the lowest polymorph of the same formula in eV per formula unit: 2.24
Space group: R3m, No. 160

[2]
Compound: CaBiPt10
Source: Alexandria via LeMat-Bulk
Functional: GGA-PBE
Structure: relaxed

Cell: 4.462 5.403 9.286 Å, 90.00 90.00 90.00°
Positions (direct):
Bi  0.000  0.500  0.500
Pt  0.500  0.752  0.248
Pt  0.500  0.248  0.248
Pt  0.000  0.000  0.664
Pt  0.500  0.500  0.000
Pt  0.000  0.500  0.169
Pt  0.500  0.000  0.500
Pt  0.500  0.752  0.752
Pt  0.500  0.248  0.752
Pt  0.000  0.000  0.336
Ca  0.000  0.000  0.000
Pt  0.000  0.500  0.831

Total energy in eV/atom: -5.81
Energy relative to the elements in kJ/mol of formula units: -328
Space group: Pmmm, No. 47

[3]
Compound: In2AgHg
Source: Alexandria via LeMat-Bulk
Functional: GGA-PBE
Structure: relaxed

Cell: 6.417 6.417 6.417 Å, 150.38 131.84 57.56°
Positions (direct):
Ag  0.501  0.501  0.000
In  0.999  0.999  0.000
In  0.725  0.225  0.500
Hg  0.274  0.774  0.500

Total energy in eV/atom: -2.11
Energy relative to the elements in kJ/mol of formula units: 18
Space group: Imm2, No. 44

It is found that the M_tot values, taken in the order of the records, are 1.57, 0.00, 0.00 Bohr magnetons per cell.